Below is crystalline Li2Ca2Sb2H at its relaxed geometry, with properties calculated at the PBE level.

Theoretical density in Mg/m³: 3.67
DFT total energy in eV/atom: -3.50
Spin magnetization in μB per cell: 0.00
DOS(E_F) in states/eV/f.u.: 3.5

a b c (Å): 4.473 4.473 8.283
angles (deg): 105.67 105.67 90.00
Atoms (fractional coordinates):
Li1 0.000 0.500 0.000
Li2 0.500 0.000 0.000
Ca1 0.159 0.159 0.317
Ca2 0.841 0.841 0.683
Sb1 0.374 0.374 0.748
Sb2 0.626 0.626 0.252
H1 0.000 0.000 0.000